Computed, not measured: a relaxed structure of V2PtS2 at the PBE level of DFT.

Cell: 6.822 6.822 2.903 Å, 90.00 90.00 90.00°
Element x y z (fractional)
V 0.853 0.353 0.500
S 0.647 0.147 0.000
Pt 0.000 0.000 0.000
V 0.647 0.853 0.500
V 0.147 0.647 0.500
S 0.853 0.647 0.000
S 0.353 0.853 0.000
Pt 0.500 0.500 0.000
V 0.353 0.147 0.500
S 0.147 0.353 0.000

ρ   8.877 g/cm³
Electronic total energy   -6.8772 eV/atom
ΔE_f (raw)   -179 kJ/mol of formula units
V   135.1 Å³/cell